Entry 1:
5
Lattice="-1.893 1.893 6.993 1.893 -1.893 6.993 1.893 1.893 -6.993" Properties=species:S:1:pos:R:3 comment="Na2MgPd2 (PBE, relaxed)" volume_a3_per_atom=20.06 energy_ev_per_atom=-2.926 formation_energy_mev_per_atom=-2 relative_energy_mev_per_atom=196 pbc="T T T"
Na 1.893 0.000 3.497
Na 0.000 1.893 3.497
Mg 0.000 0.000 0.000
Pd 0.000 0.000 5.687
Pd 0.000 0.000 8.299


Entry 2:
4
Lattice="5.405 -1.386 0.000 5.405 1.386 0.000 -2.313 0.000 4.571" Properties=species:S:1:pos:R:3 comment="Os2AuCl (PBE, relaxed)" volume_a3_per_atom=17.13 energy_ev_per_atom=-5.969 e_form_raw_ev_per_atom=0.9266 relative_energy_mev_per_atom=599 pbc="T T T"
Os 0.000 0.000 0.000
Os 7.508 0.000 0.246
Au 3.989 0.000 2.116
Cl 1.286 0.000 3.450


Entry 3:
11
Lattice="-4.387 4.387 4.387 4.387 -4.387 4.387 4.387 4.387 -4.387" Properties=species:S:1:pos:R:3 comment="Tl3Cd4Hg4 (PBE, relaxed)" volume_a3_per_atom=30.69 energy_ev_per_atom=-0.967 formation_energy_mev_per_atom=121 pbc="T T T"
Tl 4.387 0.000 0.000
Tl 0.000 4.387 0.000
Tl 0.000 0.000 4.387
Cd 1.102 1.102 -1.102
Cd 1.102 -1.102 1.102
Cd -1.102 1.102 1.102
Cd 3.284 3.284 3.284
Hg 2.660 2.660 -2.660
Hg 2.660 -2.660 2.660
Hg 1.727 1.727 1.727
Hg -2.660 2.660 2.660


Entry 4:
8
Lattice="6.292 -3.622 0.000 6.292 3.622 0.000 -2.069 0.000 5.962" Properties=species:S:1:pos:R:3 comment="Pr2DyTh (PBE, relaxed)" volume_a3_per_atom=33.97 energy_ev_per_atom=-5.340 formation_energy_mev_per_atom=56 relative_energy_mev_per_atom=18 pbc="T T T"
Pr 2.610 0.923 1.482
Pr 1.576 -0.923 4.463
Pr 8.939 0.923 1.500
Pr 7.904 -0.923 4.481
Dy 4.740 0.930 4.472
Dy 5.775 -0.930 1.491
Th 5.775 2.786 1.491
Th 4.740 -2.786 4.472


Entry 5:
5
Lattice="6.957 0.000 0.000 0.000 6.957 0.000 0.000 0.000 5.347" Properties=species:S:1:pos:R:3 comment="BaTe2NCl (PBE, relaxed)" volume_a3_per_atom=51.75 energy_ev_per_atom=-2.837 e_form_raw_ev_per_atom=0.8388 relative_energy_mev_per_atom=397 pbc="T T T"
Ba 0.000 0.000 0.000
Te 0.000 3.478 0.000
Te 3.478 0.000 0.000
N 0.000 0.000 2.673
Cl 3.478 3.478 2.673


Entry 6:
3
Lattice="-1.504 1.504 5.881 1.504 -1.504 5.881 1.504 1.504 -5.881" Properties=species:S:1:pos:R:3 comment="PuNbN (PBE, relaxed)" volume_a3_per_atom=17.73 energy_ev_per_atom=-11.286 e_form_raw_ev_per_atom=-0.3769 relative_energy_mev_per_atom=0 pbc="T T T"
Pu 0.000 0.000 0.000
Nb 0.000 0.000 3.460
N 0.000 0.000 9.077


Q: Which formula does entry 5 have?
A: BaTe2NCl